# 1
Compound: YTiNbSn2
Source: Alexandria
Functional: PBE-GGA
Structure: optimized geometry

## Properties
DFT formation energy   4.023 eV per formula unit
Total magnetic moment   0.000 μB per formula unit

Unit cell a=5.3169 b=5.3169 c=5.2014 alpha=90.00 beta=90.00 gamma=90.00
With the nearest neighbours (Å) after each atom.
Sites, in units of the cell vectors:
Y 0.0000 0.0000 0.0000  2 Nb 2.60
Ti 0.5000 0.5000 0.0000  8 Sn 3.72, 4 Y 3.76
Nb 0.0000 0.0000 0.5000  2 Y 2.60, 4 Sn 2.66
Sn 0.0000 0.5000 0.5000  2 Nb 2.66
Sn 0.5000 0.0000 0.5000  2 Nb 2.66

=====

# 2
Compound: TiNbZnSn
Source: Alexandria
Functional: PBE-GGA
Structure: optimized geometry

## Properties
DFT formation energy   -0.790 eV per formula unit
Total magnetic moment   0.000 μB per formula unit

Unit cell a=3.9866 b=4.0923 c=4.3175 alpha=90.00 beta=90.00 gamma=90.00
With the nearest neighbours (Å) after each atom.
Sites, in units of the cell vectors:
Ti 0.0000 0.0000 0.0000  4 Nb 2.86, 4 Sn 2.94, 4 Zn 2.97
Nb 0.5000 0.5000 0.0000  4 Ti 2.86, 4 Zn 2.94, 4 Sn 2.97
Zn 0.0000 0.5000 0.5000  4 Sn 2.86, 4 Nb 2.94, 4 Ti 2.97
Sn 0.5000 0.0000 0.5000  4 Zn 2.86, 4 Ti 2.94, 4 Nb 2.97

=====

# 3
Compound: ZrTi2NbSn
Source: Alexandria
Functional: PBE-GGA
Structure: optimized geometry

## Properties
DFT formation energy   5.413 eV per formula unit
Total magnetic moment   0.626 μB per formula unit

Unit cell a=4.9354 b=4.9354 c=5.1120 alpha=90.00 beta=90.00 gamma=90.00
With the nearest neighbours (Å) after each atom.
Sites, in units of the cell vectors:
Zr 0.0000 0.0000 0.0000  4 Nb 3.49, 8 Ti 3.55
Ti 0.0000 0.5000 0.5000  2 Sn 2.47
Ti 0.5000 0.0000 0.5000  2 Sn 2.47
Nb 0.5000 0.5000 0.0000  2 Sn 2.56
Sn 0.5000 0.5000 0.5000  4 Ti 2.47, 2 Nb 2.56

=====

# 4
Compound: ZrTiNbSn
Source: Alexandria
Functional: PBE-GGA
Structure: optimized geometry

## Properties
DFT formation energy   -0.806 eV per formula unit
Total magnetic moment   0.000 μB per formula unit

Unit cell a=6.7969 b=6.7969 c=6.7969 alpha=90.00 beta=90.00 gamma=90.00
With the nearest neighbours (Å) after each atom.
Sites, in units of the cell vectors:
Zr 0.0000 0.0000 0.0000  4 Nb 2.94, 4 Sn 2.94
Zr 0.0000 0.5000 0.5000  4 Nb 2.94, 4 Sn 2.94
Zr 0.5000 0.0000 0.5000  4 Nb 2.94, 4 Sn 2.94
Zr 0.5000 0.5000 0.0000  4 Nb 2.94, 4 Sn 2.94
Ti 0.0000 0.0000 0.5000  4 Sn 2.94, 4 Nb 2.94
Ti 0.0000 0.5000 0.0000  4 Sn 2.94, 4 Nb 2.94
Ti 0.5000 0.0000 0.0000  4 Sn 2.94, 4 Nb 2.94
Ti 0.5000 0.5000 0.5000  4 Sn 2.94, 4 Nb 2.94
Nb 0.2500 0.2500 0.7500  4 Ti 2.94, 4 Zr 2.94
Nb 0.2500 0.7500 0.2500  4 Zr 2.94, 4 Ti 2.94
Nb 0.7500 0.2500 0.2500  4 Zr 2.94, 4 Ti 2.94
Nb 0.7500 0.7500 0.7500  4 Zr 2.94, 4 Ti 2.94
Sn 0.2500 0.2500 0.2500  4 Zr 2.94, 4 Ti 2.94
Sn 0.2500 0.7500 0.7500  4 Zr 2.94, 4 Ti 2.94
Sn 0.7500 0.2500 0.7500  4 Zr 2.94, 4 Ti 2.94
Sn 0.7500 0.7500 0.2500  4 Zr 2.94, 4 Ti 2.94

=====

# 5
Compound: NbTlSn
Source: Alexandria
Functional: PBE-GGA
Structure: optimized geometry

## Properties
DFT formation energy   0.317 eV per formula unit
Total magnetic moment   0.000 μB per formula unit

Unit cell a=7.0760 b=5.8898 c=5.7033 alpha=75.21 beta=53.59 gamma=51.20
With the nearest neighbours (Å) after each atom.
Sites, in units of the cell vectors:
Nb 0.2500 0.2500 0.2500  4 Sn 2.92, 2 Nb 2.93, 4 Tl 3.01
Nb 0.7500 0.7500 0.7500  4 Sn 2.92, 2 Nb 2.93, 4 Tl 3.01
Tl 0.1885 0.8115 0.1885  4 Nb 3.01, 2 Tl 3.17
Tl 0.8115 0.1885 0.8115  4 Nb 3.01, 2 Tl 3.17
Sn 0.3131 0.3131 0.6869  4 Nb 2.92, 2 Sn 3.20
Sn 0.6869 0.6869 0.3131  4 Nb 2.92, 2 Sn 3.20

=====

# 6
Compound: Nb2TlSn2
Source: Alexandria
Functional: PBE-GGA
Structure: optimized geometry

## Properties
DFT formation energy   0.916 eV per formula unit
Total magnetic moment   0.000 μB per formula unit

Unit cell a=8.8028 b=8.8028 c=3.0086 alpha=90.00 beta=90.00 gamma=90.00
With the nearest neighbours (Å) after each atom.
Sites, in units of the cell vectors:
Nb 0.1110 0.3890 0.0000  3 Nb 2.76-3.01, 6 Sn 3.00-3.04
Nb 0.3890 0.8890 0.0000  3 Nb 2.76-3.01, 6 Sn 3.00-3.04
Nb 0.6110 0.1110 0.0000  3 Nb 2.76-3.01, 6 Sn 3.00-3.04
Nb 0.8890 0.6110 0.0000  3 Nb 2.76-3.01, 6 Sn 3.00-3.04
Tl 0.0000 0.0000 0.5000  2 Tl 3.01, 4 Sn 3.24
Tl 0.5000 0.5000 0.5000  2 Tl 3.01, 4 Sn 3.24
Sn 0.1766 0.6766 0.5000  6 Nb 3.00-3.04, 2 Sn 3.01, 2 Tl 3.24
Sn 0.3234 0.1766 0.5000  6 Nb 3.00-3.04, 2 Sn 3.01, 2 Tl 3.24
Sn 0.6766 0.8234 0.5000  6 Nb 3.00-3.04, 2 Sn 3.01, 2 Tl 3.24
Sn 0.8234 0.3234 0.5000  6 Nb 3.00-3.04, 2 Sn 3.01, 2 Tl 3.24

=====

# 7
Compound: Nb2TlSn2
Source: Alexandria
Functional: PBE-GGA
Structure: optimized geometry

## Properties
DFT formation energy   0.462 eV per formula unit
Total magnetic moment   0.000 μB per formula unit

Unit cell a=7.5913 b=7.5913 c=3.8199 alpha=90.00 beta=90.00 gamma=90.00
With the nearest neighbours (Å) after each atom.
Sites, in units of the cell vectors:
Nb 0.1383 0.3617 0.0000  6 Sn 2.93-2.94, 2 Tl 2.94, 1 Nb 2.97
Nb 0.3617 0.8617 0.0000  6 Sn 2.93-2.94, 2 Tl 2.94, 1 Nb 2.97
Nb 0.6383 0.1383 0.0000  6 Sn 2.93-2.94, 2 Tl 2.94, 1 Nb 2.97
Nb 0.8617 0.6383 0.0000  6 Sn 2.93-2.94, 2 Tl 2.94, 1 Nb 2.97
Tl 0.0000 0.0000 0.0000  4 Nb 2.94
Tl 0.5000 0.5000 0.0000  4 Nb 2.94
Sn 0.1552 0.6552 0.5000  6 Nb 2.93-2.94
Sn 0.3448 0.1552 0.5000  6 Nb 2.93-2.94
Sn 0.6552 0.8448 0.5000  6 Nb 2.93-2.94
Sn 0.8448 0.3448 0.5000  6 Nb 2.93-2.94

=====

# 8
Compound: Nb2TlSn
Source: Alexandria
Functional: PBE-GGA
Structure: optimized geometry

## Properties
DFT formation energy   2.281 eV per formula unit
Total magnetic moment   0.000 μB per formula unit

Unit cell a=7.6888 b=7.6888 c=6.0079 alpha=90.00 beta=90.00 gamma=90.00
With the nearest neighbours (Å) after each atom.
Sites, in units of the cell vectors:
Nb 0.2430 0.2500 0.1250  2 Sn 2.78, 2 Tl 2.86, 2 Nb 3.01
Nb 0.2500 0.7430 0.3750  2 Sn 2.78, 2 Tl 2.86, 2 Nb 3.01
Nb 0.2500 0.7570 0.8750  2 Sn 2.78, 2 Tl 2.86, 2 Nb 3.01
Nb 0.2570 0.2500 0.6250  2 Sn 2.78, 2 Tl 2.86, 2 Nb 3.01
Nb 0.7430 0.7500 0.6250  2 Sn 2.78, 2 Tl 2.86, 2 Nb 3.01
Nb 0.7500 0.2430 0.8750  2 Sn 2.78, 2 Tl 2.86, 2 Nb 3.01
Nb 0.7500 0.2570 0.3750  2 Sn 2.78, 2 Tl 2.86, 2 Nb 3.01
Nb 0.7570 0.7500 0.1250  2 Sn 2.78, 2 Tl 2.86, 2 Nb 3.01
Tl 0.0000 0.0000 0.5000  4 Nb 2.86, 2 Sn 3.00
Tl 0.0000 0.5000 0.7500  4 Nb 2.86, 2 Sn 3.00
Tl 0.5000 0.0000 0.2500  4 Nb 2.86, 2 Sn 3.00
Tl 0.5000 0.5000 0.0000  4 Nb 2.86, 2 Sn 3.00
Sn 0.0000 0.0000 0.0000  4 Nb 2.78, 2 Tl 3.00
Sn 0.0000 0.5000 0.2500  4 Nb 2.78, 2 Tl 3.00
Sn 0.5000 0.0000 0.7500  4 Nb 2.78, 2 Tl 3.00
Sn 0.5000 0.5000 0.5000  4 Nb 2.78, 2 Tl 3.00

=====

# 9
Compound: Nb2TlSn
Source: Alexandria
Functional: PBE-GGA
Structure: optimized geometry

## Properties
DFT formation energy   1.437 eV per formula unit
Total magnetic moment   0.000 μB per formula unit

Unit cell a=6.8656 b=6.8656 c=6.8656 alpha=90.00 beta=90.00 gamma=90.00
With the nearest neighbours (Å) after each atom.
Sites, in units of the cell vectors:
Nb 0.2500 0.2500 0.2500  4 Tl 2.97, 4 Sn 2.97
Nb 0.2500 0.2500 0.7500  4 Tl 2.97, 4 Sn 2.97
Nb 0.2500 0.7500 0.2500  4 Tl 2.97, 4 Sn 2.97
Nb 0.2500 0.7500 0.7500  4 Tl 2.97, 4 Sn 2.97
Nb 0.7500 0.2500 0.2500  4 Tl 2.97, 4 Sn 2.97
Nb 0.7500 0.2500 0.7500  4 Tl 2.97, 4 Sn 2.97
Nb 0.7500 0.7500 0.2500  4 Tl 2.97, 4 Sn 2.97
Nb 0.7500 0.7500 0.7500  4 Tl 2.97, 4 Sn 2.97
Tl 0.0000 0.0000 0.0000  8 Nb 2.97
Tl 0.0000 0.5000 0.5000  8 Nb 2.97
Tl 0.5000 0.0000 0.5000  8 Nb 2.97
Tl 0.5000 0.5000 0.0000  8 Nb 2.97
Sn 0.0000 0.0000 0.5000  8 Nb 2.97
Sn 0.0000 0.5000 0.0000  8 Nb 2.97
Sn 0.5000 0.0000 0.0000  8 Nb 2.97
Sn 0.5000 0.5000 0.5000  8 Nb 2.97

=====

# 10
Compound: NbTl2Sn
Source: Alexandria
Functional: PBE-GGA
Structure: optimized geometry

## Properties
DFT formation energy   2.671 eV per formula unit
Total magnetic moment   2.687 μB per formula unit

Unit cell a=7.4255 b=7.4255 c=7.4255 alpha=90.00 beta=90.00 gamma=90.00
With the nearest neighbours (Å) after each atom.
Sites, in units of the cell vectors:
Nb 0.0000 0.0000 0.0000  8 Tl 3.22
Nb 0.0000 0.5000 0.5000  8 Tl 3.22
Nb 0.5000 0.0000 0.5000  8 Tl 3.22
Nb 0.5000 0.5000 0.0000  8 Tl 3.22
Tl 0.2500 0.2500 0.2500  4 Nb 3.22, 4 Sn 3.22
Tl 0.2500 0.2500 0.7500  4 Nb 3.22, 4 Sn 3.22
Tl 0.2500 0.7500 0.2500  4 Nb 3.22, 4 Sn 3.22
Tl 0.2500 0.7500 0.7500  4 Nb 3.22, 4 Sn 3.22
Tl 0.7500 0.2500 0.2500  4 Nb 3.22, 4 Sn 3.22
Tl 0.7500 0.2500 0.7500  4 Nb 3.22, 4 Sn 3.22
Tl 0.7500 0.7500 0.2500  4 Nb 3.22, 4 Sn 3.22
Tl 0.7500 0.7500 0.7500  4 Nb 3.22, 4 Sn 3.22
Sn 0.0000 0.0000 0.5000  8 Tl 3.22
Sn 0.0000 0.5000 0.0000  8 Tl 3.22
Sn 0.5000 0.0000 0.0000  8 Tl 3.22
Sn 0.5000 0.5000 0.5000  8 Tl 3.22